(1)
Computed, not measured: a PBEsol-optimized structure of AlCd2I at the SCAN level of DFT.

Geometry as CIF:
```
data_AlCd2I
_chemical_formula_sum 'Al4 Cd8 I4'
_symmetry_space_group_name_H-M 'F m -3 m'
_symmetry_Int_Tables_number 225
_symmetry_space_group_name_Hall '-F 4 2 3'
_cell_length_a 7.4861
_cell_length_b 7.4861
_cell_length_c 7.4861
_cell_angle_alpha 90.00
_cell_angle_beta 90.00
_cell_angle_gamma 90.00
loop_
_atom_site_label
_atom_site_fract_x
_atom_site_fract_y
_atom_site_fract_z
Al1 0.0000 0.0000 0.0000
Cd1 0.2500 0.2500 0.2500
I1 0.0000 0.0000 0.5000
```

Output
E_form (uncorrected)   0.4712 eV/atom
Uncorrected energy   -25.859 eV per atom
ρ   6.0 g/cm³
Crystal system   cubic

(2)
Computed, not measured: a PBEsol-optimized structure of NaAlAg2 at the SCAN level of DFT.

Geometry as CIF:
```
data_NaAlAg2
_chemical_formula_sum 'Na4 Al4 Ag8'
_symmetry_space_group_name_H-M 'I -4 2 d'
_symmetry_Int_Tables_number 122
_symmetry_space_group_name_Hall 'I -4 2bw'
_cell_length_a 7.4493
_cell_length_b 7.4493
_cell_length_c 5.7831
_cell_angle_alpha 90.00
_cell_angle_beta 90.00
_cell_angle_gamma 90.00
loop_
_atom_site_label
_atom_site_fract_x
_atom_site_fract_y
_atom_site_fract_z
Na1 0.0000 0.0000 0.0000
Al1 0.0000 0.0000 0.5000
Ag1 0.2123 0.2500 0.6250
```

Output
Energy of formation   0.191 eV/atom
Uncorrected energy   -18.484 eV per atom
ρ   5.5 g/cm³
Crystal system   tetragonal

(3)
Computed, not measured: a PBEsol-optimized structure of TaW7 at the SCAN level of DFT.

Geometry as CIF:
```
data_TaW7
_chemical_formula_sum 'Ta6 W42'
_symmetry_space_group_name_H-M 'R -3 m'
_symmetry_Int_Tables_number 166
_symmetry_space_group_name_Hall '-R 3 2"'
_cell_length_a 8.9538
_cell_length_b 8.9538
_cell_length_c 10.9718
_cell_angle_alpha 90.00
_cell_angle_beta 90.00
_cell_angle_gamma 120.00
loop_
_atom_site_label
_atom_site_fract_x
_atom_site_fract_y
_atom_site_fract_z
Ta1 0.0000 0.0000 0.1262
W1 0.0000 0.0000 0.3762
W2 0.0013 0.5007 0.1246
W3 0.0012 0.5006 0.3747
```

Output
Energy of formation   -0.054 eV/atom
Uncorrected energy   -69.354 eV per atom
ρ   19.2 g/cm³
Crystal system   trigonal

(4)
Computed, not measured: a PBEsol-optimized structure of Ba2Au at the SCAN level of DFT.

Geometry as CIF:
```
data_Ba2Au
_chemical_formula_sum 'Ba2 Au1'
_symmetry_space_group_name_H-M 'P 4/m m m'
_symmetry_Int_Tables_number 123
_symmetry_space_group_name_Hall '-P 4 2'
_cell_length_a 5.5557
_cell_length_b 5.5557
_cell_length_c 3.8922
_cell_angle_alpha 90.00
_cell_angle_beta 90.00
_cell_angle_gamma 90.00
loop_
_atom_site_label
_atom_site_fract_x
_atom_site_fract_y
_atom_site_fract_z
Ba1 0.0000 0.5000 0.0000
Au1 0.0000 0.0000 0.5000
```

Output
Energy of formation   -0.568 eV/atom
Uncorrected energy   -49.987 eV per atom
ρ   6.5 g/cm³
Crystal system   tetragonal

(5)
Computed, not measured: a PBEsol-optimized structure of OsRuPt2 at the SCAN level of DFT.

Geometry as CIF:
```
data_OsRuPt2
_chemical_formula_sum 'Os1 Ru1 Pt2'
_symmetry_space_group_name_H-M 'P 4 m m'
_symmetry_Int_Tables_number 99
_symmetry_space_group_name_Hall 'P 4 -2'
_cell_length_a 2.7082
_cell_length_b 2.7082
_cell_length_c 7.7961
_cell_angle_alpha 90.00
_cell_angle_beta 90.00
_cell_angle_gamma 90.00
loop_
_atom_site_label
_atom_site_fract_x
_atom_site_fract_y
_atom_site_fract_z
Os1 0.0000 0.0000 0.0000
Ru1 0.5000 0.5000 0.7734
Pt1 0.0000 0.0000 0.5204
Pt2 0.5000 0.5000 0.2531
```

Output
Energy above the lowest structure with this stoichiometry   0.0 meV/atom
Energy of formation   -0.013 eV/atom
Uncorrected energy   -61.786 eV per atom
ρ   19.8 g/cm³
Crystal system   tetragonal

(6)
Computed, not measured: a PBEsol-optimized structure of GeRuSeBr2 at the SCAN level of DFT.

Geometry as CIF:
```
data_GeRuSeBr2
_chemical_formula_sum 'Ge1 Ru1 Se1 Br2'
_symmetry_space_group_name_H-M 'P 4/m m m'
_symmetry_Int_Tables_number 123
_symmetry_space_group_name_Hall '-P 4 2'
_cell_length_a 5.1036
_cell_length_b 5.1036
_cell_length_c 4.9743
_cell_angle_alpha 90.00
_cell_angle_beta 90.00
_cell_angle_gamma 90.00
loop_
_atom_site_label
_atom_site_fract_x
_atom_site_fract_y
_atom_site_fract_z
Ge1 0.0000 0.0000 0.0000
Ru1 0.5000 0.5000 0.5000
Se1 0.0000 0.0000 0.5000
Br1 0.0000 0.5000 0.0000
```

Output
E_form (uncorrected)   0.7315 eV/atom
Uncorrected energy   -21.851 eV per atom
ρ   5.3 g/cm³
Crystal system   tetragonal

(7)
Computed, not measured: a PBEsol-optimized structure of RbIn2Hg2 at the SCAN level of DFT.

Geometry as CIF:
```
data_RbIn2Hg2
_chemical_formula_sum 'Rb2 In4 Hg4'
_symmetry_space_group_name_H-M 'P 4/m b m'
_symmetry_Int_Tables_number 127
_symmetry_space_group_name_Hall '-P 4 2ab'
_cell_length_a 9.1786
_cell_length_b 9.1786
_cell_length_c 3.2679
_cell_angle_alpha 90.00
_cell_angle_beta 90.00
_cell_angle_gamma 90.00
loop_
_atom_site_label
_atom_site_fract_x
_atom_site_fract_y
_atom_site_fract_z
Rb1 0.0000 0.0000 0.0000
In1 0.1404 0.3596 0.5000
Hg1 0.1502 0.6502 0.0000
```

Output
Energy above the lowest structure with this stoichiometry   105.7 meV/atom
Energy of formation   -0.119 eV/atom
Uncorrected energy   -44.888 eV per atom
ρ   8.6 g/cm³
Crystal system   tetragonal

(8)
Computed, not measured: a PBEsol-optimized structure of YBiN2F at the SCAN level of DFT.

Geometry as CIF:
```
data_YBiN2F
_chemical_formula_sum 'Y1 Bi1 N2 F1'
_symmetry_space_group_name_H-M 'P 4/m m m'
_symmetry_Int_Tables_number 123
_symmetry_space_group_name_Hall '-P 4 2'
_cell_length_a 4.3915
_cell_length_b 4.3915
_cell_length_c 4.2326
_cell_angle_alpha 90.00
_cell_angle_beta 90.00
_cell_angle_gamma 90.00
loop_
_atom_site_label
_atom_site_fract_x
_atom_site_fract_y
_atom_site_fract_z
Y1 0.0000 0.0000 0.0000
Bi1 0.5000 0.5000 0.5000
N1 0.0000 0.5000 0.5000
F1 0.5000 0.5000 0.0000
```

Output
E_form (uncorrected)   -0.2205 eV/atom
Uncorrected energy   -25.930 eV per atom
ρ   7.0 g/cm³
Crystal system   tetragonal

(9)
Computed, not measured: a PBEsol-optimized structure of KMg2Mn at the SCAN level of DFT.

Geometry as CIF:
```
data_KMg2Mn
_chemical_formula_sum 'K3 Mg6 Mn3'
_symmetry_space_group_name_H-M 'R -3 m'
_symmetry_Int_Tables_number 166
_symmetry_space_group_name_Hall '-R 3 2"'
_cell_length_a 3.2115
_cell_length_b 3.2115
_cell_length_c 32.8020
_cell_angle_alpha 90.00
_cell_angle_beta 90.00
_cell_angle_gamma 120.00
loop_
_atom_site_label
_atom_site_fract_x
_atom_site_fract_y
_atom_site_fract_z
K1 0.0000 0.0000 0.0000
Mg1 0.0000 0.0000 0.2337
Mn1 0.0000 0.0000 0.5000
```

Output
Energy above the lowest structure with this stoichiometry   132.9 meV/atom
Energy of formation   0.324 eV/atom
Uncorrected energy   -8.809 eV per atom
ρ   2.4 g/cm³
Crystal system   trigonal

(10)
Computed, not measured: a PBEsol-optimized structure of CrTcTe2N at the SCAN level of DFT.

Geometry as CIF:
```
data_CrTcTe2N
_chemical_formula_sum 'Cr1 Tc1 Te2 N1'
_symmetry_space_group_name_H-M 'P 4/m m m'
_symmetry_Int_Tables_number 123
_symmetry_space_group_name_Hall '-P 4 2'
_cell_length_a 5.3250
_cell_length_b 5.3250
_cell_length_c 3.6392
_cell_angle_alpha 90.00
_cell_angle_beta 90.00
_cell_angle_gamma 90.00
loop_
_atom_site_label
_atom_site_fract_x
_atom_site_fract_y
_atom_site_fract_z
Cr1 0.0000 0.0000 0.0000
Tc1 0.5000 0.5000 0.5000
Te1 0.0000 0.5000 0.5000
N1 0.5000 0.5000 0.0000
```

Output
E_form (uncorrected)   0.2327 eV/atom
Uncorrected energy   -27.215 eV per atom
ρ   6.7 g/cm³
Crystal system   tetragonal

(11)
Computed, not measured: a PBEsol-optimized structure of CaZr3W at the SCAN level of DFT.

Geometry as CIF:
```
data_CaZr3W
_chemical_formula_sum 'Ca1 Zr3 W1'
_symmetry_space_group_name_H-M 'P m -3 m'
_symmetry_Int_Tables_number 221
_symmetry_space_group_name_Hall '-P 4 2 3'
_cell_length_a 4.7677
_cell_length_b 4.7677
_cell_length_c 4.7677
_cell_angle_alpha 90.00
_cell_angle_beta 90.00
_cell_angle_gamma 90.00
loop_
_atom_site_label
_atom_site_fract_x
_atom_site_fract_y
_atom_site_fract_z
Ca1 0.0000 0.0000 0.0000
Zr1 0.0000 0.0000 0.5000
W1 0.5000 0.5000 0.5000
```

Output
Energy of formation   2.231 eV/atom
Uncorrected energy   -32.059 eV per atom
ρ   7.6 g/cm³
Crystal system   cubic

(12)
Computed, not measured: a PBEsol-optimized structure of SrMgAl2 at the SCAN level of DFT.

Geometry as CIF:
```
data_SrMgAl2
_chemical_formula_sum 'Sr1 Mg1 Al2'
_symmetry_space_group_name_H-M 'P 4/m m m'
_symmetry_Int_Tables_number 123
_symmetry_space_group_name_Hall '-P 4 2'
_cell_length_a 3.5679
_cell_length_b 3.5679
_cell_length_c 7.4338
_cell_angle_alpha 90.00
_cell_angle_beta 90.00
_cell_angle_gamma 90.00
loop_
_atom_site_label
_atom_site_fract_x
_atom_site_fract_y
_atom_site_fract_z
Sr1 0.0000 0.0000 0.0000
Mg1 0.0000 0.0000 0.5000
Al1 0.5000 0.5000 0.3047
```

Output
Energy of formation   -0.075 eV/atom
Uncorrected energy   -10.763 eV per atom
ρ   2.9 g/cm³
Crystal system   tetragonal

(13)
Computed, not measured: a PBEsol-optimized structure of SmCd at the SCAN level of DFT.

Geometry as CIF:
```
data_SmCd
_chemical_formula_sum 'Sm1 Cd1'
_symmetry_space_group_name_H-M 'P m -3 m'
_symmetry_Int_Tables_number 221
_symmetry_space_group_name_Hall '-P 4 2 3'
_cell_length_a 3.7379
_cell_length_b 3.7379
_cell_length_c 3.7379
_cell_angle_alpha 90.00
_cell_angle_beta 90.00
_cell_angle_gamma 90.00
loop_
_atom_site_label
_atom_site_fract_x
_atom_site_fract_y
_atom_site_fract_z
Sm1 0.0000 0.0000 0.0000
Cd1 0.5000 0.5000 0.5000
```

Output
Energy of formation   -0.426 eV/atom
Uncorrected energy   -37.854 eV per atom
ρ   8.4 g/cm³
Crystal system   cubic

(14)
Computed, not measured: a PBEsol-optimized structure of K2CuNi at the SCAN level of DFT.

Geometry as CIF:
```
data_K2CuNi
_chemical_formula_sum 'K4 Cu2 Ni2'
_symmetry_space_group_name_H-M 'A m m 2'
_symmetry_Int_Tables_number 38
_symmetry_space_group_name_Hall 'A 2 -2'
_cell_length_a 4.2660
_cell_length_b 4.9940
_cell_length_c 10.6089
_cell_angle_alpha 90.00
_cell_angle_beta 90.00
_cell_angle_gamma 90.00
loop_
_atom_site_label
_atom_site_fract_x
_atom_site_fract_y
_atom_site_fract_z
K1 0.0000 0.0000 0.0000
K2 0.5000 0.0000 0.2990
Cu1 0.0000 0.0000 0.6855
Ni1 0.5000 0.0000 0.6180
```

Output
Energy above the lowest structure with this stoichiometry   0.0 meV/atom
Energy of formation   0.536 eV/atom
Uncorrected energy   -11.472 eV per atom
ρ   2.9 g/cm³
Crystal system   orthorhombic

(15)
Computed, not measured: a PBEsol-optimized structure of Mg2ReMo at the SCAN level of DFT.

Geometry as CIF:
```
data_Mg2ReMo
_chemical_formula_sum 'Mg8 Re4 Mo4'
_symmetry_space_group_name_H-M 'F -4 3 m'
_symmetry_Int_Tables_number 216
_symmetry_space_group_name_Hall 'F -4 2 3'
_cell_length_a 6.3162
_cell_length_b 6.3162
_cell_length_c 6.3162
_cell_angle_alpha 90.00
_cell_angle_beta 90.00
_cell_angle_gamma 90.00
loop_
_atom_site_label
_atom_site_fract_x
_atom_site_fract_y
_atom_site_fract_z
Mg1 0.0000 0.0000 0.0000
Mg2 0.2500 0.2500 0.2500
Re1 0.2500 0.2500 0.7500
Mo1 0.0000 0.0000 0.5000
```

Output
Energy above the lowest structure with this stoichiometry   0.0 meV/atom
Energy of formation   0.169 eV/atom
Uncorrected energy   -28.814 eV per atom
ρ   8.7 g/cm³
Crystal system   cubic

(16)
Computed, not measured: a PBEsol-optimized structure of Cs2PSe at the SCAN level of DFT.

Geometry as CIF:
```
data_Cs2PSe
_chemical_formula_sum 'Cs8 P4 Se4'
_symmetry_space_group_name_H-M 'F m -3 m'
_symmetry_Int_Tables_number 225
_symmetry_space_group_name_Hall '-F 4 2 3'
_cell_length_a 8.3854
_cell_length_b 8.3854
_cell_length_c 8.3854
_cell_angle_alpha 90.00
_cell_angle_beta 90.00
_cell_angle_gamma 90.00
loop_
_atom_site_label
_atom_site_fract_x
_atom_site_fract_y
_atom_site_fract_z
Cs1 0.2500 0.2500 0.2500
P1 0.0000 0.0000 0.0000
Se1 0.0000 0.0000 0.5000
```

Output
E_form (uncorrected)   -0.2539 eV/atom
Uncorrected energy   -26.778 eV per atom
ρ   4.2 g/cm³
Crystal system   cubic

(17)
Computed, not measured: a PBEsol-optimized structure of TcIr2Rh at the SCAN level of DFT.

Geometry as CIF:
```
data_TcIr2Rh
_chemical_formula_sum 'Tc1 Ir2 Rh1'
_symmetry_space_group_name_H-M 'P m m 2'
_symmetry_Int_Tables_number 25
_symmetry_space_group_name_Hall 'P 2 -2'
_cell_length_a 2.6835
_cell_length_b 3.8269
_cell_length_c 5.3854
_cell_angle_alpha 90.00
_cell_angle_beta 90.00
_cell_angle_gamma 90.00
loop_
_atom_site_label
_atom_site_fract_x
_atom_site_fract_y
_atom_site_fract_z
Tc1 0.0000 0.0000 0.0000
Ir1 0.0000 0.0000 0.5013
Ir2 0.5000 0.5000 0.2462
Rh1 0.5000 0.5000 0.7521
```

Output
Energy above the lowest structure with this stoichiometry   43.9 meV/atom
Energy of formation   -0.134 eV/atom
Uncorrected energy   -52.891 eV per atom
ρ   17.6 g/cm³
Crystal system   orthorhombic

(18)
Computed, not measured: a PBEsol-optimized structure of CaCo3Si4O12 at the SCAN level of DFT.

Geometry as CIF:
```
data_CaCo3Si4O12
_chemical_formula_sum 'Ca2 Co6 Si8 O24'
_symmetry_space_group_name_H-M 'C 1 2 1'
_symmetry_Int_Tables_number 5
_symmetry_space_group_name_Hall 'C 2y'
_cell_length_a 11.8442
_cell_length_b 8.4906
_cell_length_c 5.1244
_cell_angle_alpha 90.00
_cell_angle_beta 103.81
_cell_angle_gamma 90.00
loop_
_atom_site_label
_atom_site_fract_x
_atom_site_fract_y
_atom_site_fract_z
Ca1 0.0000 0.0000 0.0000
Co1 0.0000 0.3440 0.0000
Co2 0.0000 0.5657 0.5000
Co3 0.0000 0.8564 0.5000
Si1 0.1369 0.0673 0.4906
Si2 0.1886 0.7843 0.1989
O1 0.0566 0.4589 0.7868
O2 0.0825 0.1981 0.2577
O3 0.0964 0.7105 0.3662
O4 0.1254 0.8300 0.8947
O5 0.2026 0.1594 0.7653
O6 0.2263 0.9521 0.3708
```

Output
E_form (uncorrected)   -1.9713 eV/atom
Uncorrected energy   -10.792 eV per atom
ρ   3.5 g/cm³
Crystal system   monoclinic

(19)
Computed, not measured: a PBEsol-optimized structure of K7Hg at the SCAN level of DFT.

Geometry as CIF:
```
data_K7Hg
_chemical_formula_sum 'K28 Hg4'
_symmetry_space_group_name_H-M 'F m -3 m'
_symmetry_Int_Tables_number 225
_symmetry_space_group_name_Hall '-F 4 2 3'
_cell_length_a 12.3740
_cell_length_b 12.3740
_cell_length_c 12.3740
_cell_angle_alpha 90.00
_cell_angle_beta 90.00
_cell_angle_gamma 90.00
loop_
_atom_site_label
_atom_site_fract_x
_atom_site_fract_y
_atom_site_fract_z
K1 0.0000 0.0000 0.0000
K2 0.0000 0.2500 0.2500
Hg1 0.0000 0.0000 0.5000
```

Output
Energy of formation   0.017 eV/atom
Uncorrected energy   -15.792 eV per atom
ρ   1.7 g/cm³
Crystal system   cubic

(20)
Computed, not measured: a PBEsol-optimized structure of Tl2NiMo at the SCAN level of DFT.

Geometry as CIF:
```
data_Tl2NiMo
_chemical_formula_sum 'Tl2 Ni1 Mo1'
_symmetry_space_group_name_H-M 'P 1 2/m 1'
_symmetry_Int_Tables_number 10
_symmetry_space_group_name_Hall '-P 2y'
_cell_length_a 2.9414
_cell_length_b 4.2786
_cell_length_c 5.7250
_cell_angle_alpha 90.00
_cell_angle_beta 96.63
_cell_angle_gamma 90.00
loop_
_atom_site_label
_atom_site_fract_x
_atom_site_fract_y
_atom_site_fract_z
Tl1 0.1454 0.0000 0.2559
Ni1 0.0000 0.5000 0.5000
Mo1 0.5000 0.5000 0.0000
```

Output
Energy above the lowest structure with this stoichiometry   104.0 meV/atom
Energy of formation   0.762 eV/atom
Uncorrected energy   -48.182 eV per atom
ρ   13.1 g/cm³
Crystal system   monoclinic